! PBE+U Ba2NiAuO, relaxed; values from VASP
&SYSTEM
  ibrav = 0, nat = 5, ntyp = 4
/
ATOMIC_SPECIES
Ni 58.69 Ni.upf
Ba 137.33 Ba.upf
O 16.00 O.upf
Au 196.97 Au.upf
ATOMIC_POSITIONS crystal
Ni 0.5000 0.5000 0.5000
Ba 0.5000 0.0000 0.0000
Ba 0.0000 0.0000 0.5000
O 0.0000 0.5000 0.0000
Au 0.0000 0.0000 0.0000
CELL_PARAMETERS angstrom
-1.6145 -4.9880 -3.2087
1.0927 -2.4366 3.2380
-5.7110 0.4102 2.2359
! Space-group type: P4/mmm
! Volume, Å³/atom: 31.7
! Raw total energy, eV per cell: -13.6



! PBE+U Ba2NiAu2O6, relaxed; values from VASP
&SYSTEM
  ibrav = 0, nat = 11, ntyp = 4
/
ATOMIC_SPECIES
O 16.00 O.upf
Au 196.97 Au.upf
Ni 58.69 Ni.upf
Ba 137.33 Ba.upf
ATOMIC_POSITIONS crystal
O 0.1992 0.7750 0.2509
O 0.7750 0.1992 0.2509
O 0.8008 0.2250 0.7491
O 0.2250 0.8008 0.7491
O 0.7750 0.7750 0.2509
O 0.2250 0.2250 0.7491
Au 0.4113 0.4113 0.7662
Au 0.5887 0.5887 0.2338
Ni 0.0000 0.0000 0.0000
Ba 0.2171 0.2171 0.3487
Ba 0.7829 0.7829 0.6513
CELL_PARAMETERS angstrom
6.0809 0.0000 0.0000
3.0404 5.2662 0.0000
3.0404 1.7554 5.7272
! Space-group type: R-3m
! Volume, Å³/atom: 16.7
! Raw total energy, eV per cell: -53.4